# 1
Below is a relaxed Er3TmRh8 crystal, with properties calculated at the PBE-GGA level.

Output
Spin magnetization: 0.000 μB/atom
E: -7.157 eV/atom
Energy of formation from the pure elements: -743 meV per atom

Lattice parameters (Å, degrees): 5.311 5.311 8.678 90.00 90.00 120.00
Positions (direct):
Er  0.667  0.333  0.434
Er  0.667  0.333  0.067
Er  0.000  0.000  0.933
Tm  0.000  0.000  0.566
Rh  0.333  0.667  0.500
Rh  0.333  0.667  0.000
Rh  0.503  0.005  0.750
Rh  0.503  0.497  0.750
Rh  0.995  0.497  0.750
Rh  0.164  0.328  0.250
Rh  0.164  0.836  0.250
Rh  0.672  0.836  0.250


# 2
Below is a relaxed Er6TmRh2 crystal, with properties calculated at the PBE-GGA level.

Output
Spin magnetization: 0.000 μB/atom
E: -5.606 eV/atom
Energy of formation from the pure elements: -433 meV per atom

Lattice parameters (Å, degrees): 3.706 8.088 8.437 80.65 77.31 76.76
Positions (direct):
Er  0.020  0.150  0.811
Er  0.274  0.336  0.116
Er  0.726  0.664  0.884
Er  0.307  0.834  0.553
Er  0.693  0.166  0.447
Er  0.980  0.850  0.189
Tm  0.000  0.500  0.500
Rh  0.403  0.427  0.768
Rh  0.597  0.573  0.232


# 3
Below is a relaxed ErTm2Rh2 crystal, with properties calculated at the PBE-GGA level.

Output
Spin magnetization: 0.000 μB/atom
E: -6.323 eV/atom
Polymorph energy (0 for the lowest one): 105 meV per atom
Energy of formation from the pure elements: -681 meV per atom

Lattice parameters (Å, degrees): 3.902 7.165 8.560 90.00 103.18 90.00
Positions (direct):
Er  0.622  0.915  0.244
Er  0.378  0.415  0.756
Tm  0.031  0.246  0.061
Tm  0.188  0.530  0.377
Tm  0.812  0.030  0.623
Tm  0.969  0.746  0.939
Rh  0.554  0.546  0.108
Rh  0.195  0.128  0.391
Rh  0.805  0.628  0.609
Rh  0.446  0.046  0.892